1.
The following is a PBE calculation of a relaxed Sm6InP2Se3 crystal, from the Alexandria database.

Geometry as CIF:
```
data_Sm6InP2Se3
_cell_length_a 9.419
_cell_length_b 9.419
_cell_length_c 8.536
_cell_angle_alpha 103.20
_cell_angle_beta 103.20
_cell_angle_gamma 25.43
_space_group_name_H-M_alt 'P 1'
_space_group_IT_number 1
_space_group_name_Hall 'P 1'
loop_
_atom_site_label
_atom_site_fract_x
_atom_site_fract_y
_atom_site_fract_z
_atom_site_occupancy
Sm1 0.005 0.005 0.264 1
Sm2 0.328 0.328 0.428 1
Sm3 0.329 0.329 0.899 1
Sm4 0.671 0.671 0.101 1
Sm5 0.672 0.672 0.572 1
Sm6 0.995 0.995 0.736 1
In1 0.500 0.500 0.000 1
P1 0.168 0.168 0.336 1
P2 0.832 0.832 0.664 1
Se1 0.166 0.166 0.831 1
Se2 0.500 0.500 0.500 1
Se3 0.834 0.834 0.169 1
```

Results
As for the uncorrected formation energy: -1.517 eV per atom. The value obtained for the density of states at the Fermi level is 0.33 states/eV per atom. For the mass density, the calculation gives 6.9 g/cm3.

2.
The following is a PBE calculation of a relaxed Ac2Nd3In crystal, from the Alexandria database.

Geometry as CIF:
```
data_Ac2Nd3In
_cell_length_a 8.444
_cell_length_b 8.444
_cell_length_c 5.106
_cell_angle_alpha 90.00
_cell_angle_beta 90.00
_cell_angle_gamma 144.33
_space_group_name_H-M_alt 'P 1'
_space_group_IT_number 1
_space_group_name_Hall 'P 1'
loop_
_atom_site_label
_atom_site_fract_x
_atom_site_fract_y
_atom_site_fract_z
_atom_site_occupancy
Ac1 0.163 0.837 0.000 1
Ac2 0.837 0.163 0.000 1
Nd1 0.000 0.000 0.500 1
Nd2 0.343 0.657 0.500 1
Nd3 0.657 0.343 0.500 1
In1 0.500 0.500 0.000 1
```

Results
The value obtained for the density of states at the Fermi level is 1.37 states/eV per atom. Its uncorrected energy is -4.33 eV/atom. For the mass density, the calculation gives 7.8 g/cm3.

3.
The following is a PBE calculation of a relaxed LiBi2 crystal, from the Alexandria database.

Geometry as CIF:
```
data_LiBi2
_cell_length_a 8.027
_cell_length_b 8.027
_cell_length_c 4.777
_cell_angle_alpha 90.00
_cell_angle_beta 90.00
_cell_angle_gamma 146.85
_space_group_name_H-M_alt 'P 1'
_space_group_IT_number 1
_space_group_name_Hall 'P 1'
loop_
_atom_site_label
_atom_site_fract_x
_atom_site_fract_y
_atom_site_fract_z
_atom_site_occupancy
Li1 0.090 0.910 0.750 1
Li2 0.910 0.090 0.250 1
Bi1 0.242 0.758 0.250 1
Bi2 0.430 0.570 0.750 1
Bi3 0.570 0.430 0.250 1
Bi4 0.758 0.242 0.750 1
```

Results
The energy above the lowest structure with this stoichiometry is 0.00 eV per formula unit. The value obtained for the density of states at the Fermi level is 0.40 states/eV per atom. For the mass density, the calculation gives 8.4 g/cm3.

4.
The following is a PBE calculation of a relaxed V7Ga3Fe crystal, from the Alexandria database.

Geometry as CIF:
```
data_V7Ga3Fe
_cell_length_a 2.608
_cell_length_b 12.158
_cell_length_c 9.860
_cell_angle_alpha 90.00
_cell_angle_beta 91.56
_cell_angle_gamma 90.00
_space_group_name_H-M_alt 'P 1'
_space_group_IT_number 1
_space_group_name_Hall 'P 1'
loop_
_atom_site_label
_atom_site_fract_x
_atom_site_fract_y
_atom_site_fract_z
_atom_site_occupancy
V1 0.026 0.250 0.181 1
V2 0.044 0.588 0.183 1
V3 0.044 0.912 0.183 1
V4 0.102 0.090 0.555 1
V5 0.102 0.410 0.555 1
V6 0.335 0.582 0.943 1
V7 0.335 0.918 0.943 1
V8 0.665 0.082 0.057 1
V9 0.665 0.418 0.057 1
V10 0.898 0.590 0.445 1
V11 0.898 0.910 0.445 1
V12 0.956 0.088 0.817 1
V13 0.956 0.412 0.817 1
V14 0.974 0.750 0.819 1
Ga1 0.456 0.750 0.317 1
Ga2 0.483 0.583 0.683 1
Ga3 0.483 0.917 0.683 1
Ga4 0.517 0.083 0.317 1
Ga5 0.517 0.417 0.317 1
Ga6 0.544 0.250 0.683 1
Fe1 0.297 0.250 0.944 1
Fe2 0.703 0.750 0.056 1
```

Results
The value obtained for the density of states at the Fermi level is 0.99 states/eV per atom. Its uncorrected energy is -7.42 eV/atom. For the mass density, the calculation gives 6.6 g/cm3.

The evaluated calculated volume for the records listed, in turn: 26.352, 35.382, 28.052, 14.204 Å³ per atom.